Record 1
{
  "formula": "MgNpRh2",
  "functional": "PBE-GGA",
  "state": "relaxed",
  "cell": [[3.168, 0.000, 0.000], [0.000, 3.168, 0.000], [0.000, 0.000, 6.913]],
  "species": ["Mg", "Np", "Rh", "Rh"],
  "frac_coords": [[0.000, 0.000, 0.000], [0.000, 0.000, 0.500], [0.500, 0.500, 0.236], [0.500, 0.500, 0.764]],
  "e_form_ev_per_atom": -0.395,
  "magmom_total_mub_per_cell": 3.3
}

---

Record 2
{
  "formula": "MgNpRh6",
  "functional": "PBE-GGA",
  "state": "relaxed",
  "cell": [[5.570, 0.000, 0.000], [0.000, 5.570, 0.000], [0.000, 0.000, 3.973]],
  "species": ["Mg", "Np", "Rh", "Rh", "Rh", "Rh", "Rh", "Rh"],
  "frac_coords": [[0.000, 0.000, 0.000], [0.500, 0.500, 0.000], [0.000, 0.500, 0.000], [0.251, 0.251, 0.500], [0.251, 0.749, 0.500], [0.500, 0.000, 0.000], [0.749, 0.251, 0.500], [0.749, 0.749, 0.500]],
  "e_form_ev_per_atom": -0.358,
  "magmom_total_mub_per_cell": 0.8
}

---

Record 3
{
  "formula": "MgNp2Rh8",
  "functional": "PBE-GGA",
  "state": "relaxed",
  "cell": [[-1.972, 3.872, 5.962], [1.972, -3.872, 5.962], [1.972, 3.872, -5.962]],
  "species": ["Mg", "Np", "Np", "Rh", "Rh", "Rh", "Rh", "Rh", "Rh", "Rh", "Rh"],
  "frac_coords": [[0.000, 0.000, 0.000], [0.346, 0.346, 0.000], [0.654, 0.654, 0.000], [0.092, 0.835, 0.257], [0.170, 0.670, 0.500], [0.259, 0.500, 0.759], [0.422, 0.165, 0.257], [0.578, 0.835, 0.743], [0.741, 0.500, 0.241], [0.830, 0.330, 0.500], [0.908, 0.165, 0.743]],
  "e_form_ev_per_atom": -0.270,
  "magmom_total_mub_per_cell": 2.7
}

---

Record 4
{
  "formula": "MgNpRh",
  "functional": "PBE-GGA",
  "state": "relaxed",
  "cell": [[3.074, 0.000, 0.000], [0.000, 5.895, 0.000], [0.000, 0.000, 12.988]],
  "species": ["Mg", "Mg", "Mg", "Mg", "Np", "Np", "Np", "Np", "Rh", "Rh", "Rh", "Rh"],
  "frac_coords": [[0.000, 0.000, 0.212], [0.000, 0.000, 0.788], [0.500, 0.500, 0.288], [0.500, 0.500, 0.712], [0.000, 0.305, 0.500], [0.000, 0.695, 0.500], [0.500, 0.195, 0.000], [0.500, 0.805, 0.000], [0.000, 0.500, 0.115], [0.000, 0.500, 0.885], [0.500, 0.000, 0.385], [0.500, 0.000, 0.615]],
  "e_form_ev_per_atom": -0.181,
  "magmom_total_mub_per_cell": 0.0
}